Material: Li2CrHg2O6
Method: DFT, GGA+U
State: optimized geometry

The structure belongs to space group C2/m (No. 12); the cell edges are 5.589, 8.662 and 5.670 Å and the angles 90.00°, 108.01° and 90.00°. Symmetry generates all atoms from Li at (0.000, 0.158, 0.000), Cr at (0.000, 0.500, 0.000), Hg at (0.000, 0.192, 0.500), O at (0.114, 0.346, 0.824) and O at (0.137, 0.000, 0.777).

The calculation puts the density of states at the Fermi level at 0.431 states/eV/atom. As for the uncorrected energy: -4.67 eV per atom.